Entry 1:
# PBE CuNiCl6, relaxed
data_CuNiCl6
_space_group_name_H-M_alt 'P 1'
_space_group_IT_number 1
_cell_length_a 6.3092
_cell_length_b 6.3092
_cell_length_c 6.3092
_cell_angle_alpha 57.11
_cell_angle_beta 57.11
_cell_angle_gamma 57.11
loop_
_space_group_symop_operation_xyz
'x,y,z'
loop_
_atom_site_label
_atom_site_type_symbol
_atom_site_fract_x
_atom_site_fract_y
_atom_site_fract_z
Cu1 Cu 0.0000 0.0000 0.0000
Ni1 Ni 0.5000 0.5000 0.5000
Cl1 Cl 0.1199 0.3960 0.7389
Cl2 Cl 0.2611 0.8801 0.6040
Cl3 Cl 0.3960 0.7389 0.1199
Cl4 Cl 0.6040 0.2611 0.8801
Cl5 Cl 0.7389 0.1199 0.3960
Cl6 Cl 0.8801 0.6040 0.2611
# Total DFT energy (no corrections), eV/atom: -2.9122
# D(E_F), states/eV/f.u.: 9.3
# ΔE_f (raw), kcal/mol of atoms: -6.75
# Offset from the most stable computed form, kcal/mol of atoms: 1.28
# Total moment, Bohr magnetons per cell: 0.93

Entry 2:
# PBE CuNiCl2, relaxed
data_CuNiCl2
_space_group_name_H-M_alt 'P 1'
_space_group_IT_number 1
_cell_length_a 3.9526
_cell_length_b 3.4102
_cell_length_c 6.3284
_cell_angle_alpha 90.00
_cell_angle_beta 91.82
_cell_angle_gamma 90.00
loop_
_space_group_symop_operation_xyz
'x,y,z'
loop_
_atom_site_label
_atom_site_type_symbol
_atom_site_fract_x
_atom_site_fract_y
_atom_site_fract_z
Cu1 Cu 0.0000 0.0000 0.0000
Ni1 Ni 0.5016 0.5000 0.9052
Cl1 Cl 0.3144 0.0000 0.7031
Cl2 Cl 0.7843 0.5000 0.2131
# Total DFT energy (no corrections), eV/atom: -3.6371
# D(E_F), states/eV/f.u.: 3.0
# ΔE_f (raw), kcal/mol of atoms: -5.64
# Offset from the most stable computed form, kcal/mol of atoms: 0.00
# Total moment, Bohr magnetons per cell: 1.00

Copy entry 2 word for word.
# PBE CuNiCl2, relaxed
data_CuNiCl2
_space_group_name_H-M_alt 'P 1'
_space_group_IT_number 1
_cell_length_a 3.9526
_cell_length_b 3.4102
_cell_length_c 6.3284
_cell_angle_alpha 90.00
_cell_angle_beta 91.82
_cell_angle_gamma 90.00
loop_
_space_group_symop_operation_xyz
'x,y,z'
loop_
_atom_site_label
_atom_site_type_symbol
_atom_site_fract_x
_atom_site_fract_y
_atom_site_fract_z
Cu1 Cu 0.0000 0.0000 0.0000
Ni1 Ni 0.5016 0.5000 0.9052
Cl1 Cl 0.3144 0.0000 0.7031
Cl2 Cl 0.7843 0.5000 0.2131
# Total DFT energy (no corrections), eV/atom: -3.6371
# D(E_F), states/eV/f.u.: 3.0
# ΔE_f (raw), kcal/mol of atoms: -5.64
# Offset from the most stable computed form, kcal/mol of atoms: 0.00
# Total moment, Bohr magnetons per cell: 1.00

Q: Number 1 is which compound?
A: CuNiCl6

Q: D(E_F) of number 2 (CuNiCl2)?
A: 3.0 states/eV/f.u.